Computed, not measured: crystalline LaTbPm6Tm2 at its relaxed geometry at the PBE level of DFT.

Summary:
Total energy, eV for the cell shown: -91.69
Formation enthalpy at 0 K, kJ/mol of formula units: 112
Crystal system: monoclinic

The structure in POSCAR format:
```
LaTbPm6Tm2
1.0
9.243 -2.101 -2.180
0.831 8.642 -1.984
0.831 -2.303 8.562
Tb Pm Tm La
2 12 4 2
Cartesian
3.142 7.773 -2.198
7.764 -3.535 6.596
4.178 2.937 0.689
2.155 4.461 -1.350
6.777 -2.565 3.318
8.799 -0.470 1.871
2.107 4.708 2.528
9.671 5.157 -1.768
5.857 5.145 -1.780
8.751 -0.224 5.748
4.130 6.803 1.080
6.729 1.301 3.709
1.235 -0.919 6.166
5.050 -0.907 6.178
0.843 1.977 0.991
5.442 4.371 3.476
10.064 2.261 3.407
5.464 -0.133 0.922
7.764 2.627 0.658
3.142 1.611 3.740
```